The following is a DFT calculation (PBE) of a relaxed structure of MgNbCuSi.

Structure (POSCAR):
```
MgNbCuSi
1.0
0.000 3.160 3.160
3.160 0.000 3.160
3.160 3.160 0.000
Nb Cu Mg Si
1 1 1 1
direct
0.500 0.500 0.500 Nb
0.750 0.750 0.750 Cu
0.250 0.250 0.250 Mg
0.000 0.000 0.000 Si
```

## Properties
Magnetic moment ... 2.0 μB/cell
Symmetry ... F-43m, No. 216
Electronic total energy ... -18.9 eV for the cell shown


The following is a DFT calculation (PBE) of a relaxed structure of Si16AgGe12P3.

Structure (POSCAR):
```
Si16AgGe12P3
1.0
-3.295 -1.869 5.648
-9.466 -3.434 -2.598
2.229 -10.138 -0.701
Si P Ge Ag
16 3 12 1
direct
0.495 0.317 0.071 Si
0.375 0.796 0.343 Si
0.874 0.858 0.161 Si
0.373 0.423 0.486 Si
0.377 0.544 0.116 Si
0.876 0.110 0.421 Si
0.868 0.241 0.046 Si
0.487 0.561 0.315 Si
0.386 0.166 0.231 Si
0.016 0.620 0.121 Si
0.487 0.443 0.685 Si
0.998 0.121 0.626 Si
0.869 0.731 0.545 Si
0.007 0.007 0.002 Si
0.500 0.939 0.179 Si
0.003 0.502 0.500 Si
0.366 0.929 0.990 P
0.887 0.602 0.927 P
0.997 0.381 0.881 P
0.374 0.304 0.864 Ge
0.012 0.736 0.747 Ge
0.867 0.361 0.672 Ge
0.007 0.251 0.248 Ge
0.864 0.492 0.296 Ge
0.373 0.042 0.608 Ge
0.391 0.671 0.739 Ge
0.489 0.064 0.820 Ge
0.495 0.807 0.548 Ge
0.500 0.191 0.435 Ge
0.879 0.978 0.803 Ge
0.998 0.873 0.371 Ge
0.509 0.689 0.952 Ag
```

## Properties
Symmetry ... P1, No. 1
Electronic total energy ... -159.7 eV for the cell shown


The following is a DFT calculation (PBE) of a relaxed structure of PmThOs4.

Structure (POSCAR):
```
PmThOs4
1.0
-1.963 -5.049 0.564
-5.378 -0.817 0.271
-2.604 -2.388 -4.145
Pm Os Th
1 4 1
direct
0.500 0.500 0.500 Pm
0.125 0.625 0.125 Os
0.125 0.125 0.625 Os
0.125 0.125 0.125 Os
0.625 0.125 0.125 Os
0.750 0.750 0.750 Th
```

## Properties
Formation energy from the elements ... -0.20 eV/atom
Magnetic moment ... 0.0 μB/cell
Symmetry ... F-43m, No. 216
Electronic total energy ... -58.2 eV for the cell shown


The following is a DFT calculation (PBE) of a relaxed structure of Gd2Te3Au.

Structure (POSCAR):
```
Gd2Te3Au
1.0
-9.412 2.980 -4.614
0.216 -3.254 -2.542
-7.474 -8.245 9.921
Te Gd Au
12 8 4
direct
0.762 0.250 0.362 Te
0.262 0.250 0.138 Te
0.738 0.750 0.862 Te
0.563 0.750 0.095 Te
0.238 0.750 0.638 Te
0.437 0.250 0.905 Te
0.063 0.750 0.405 Te
0.042 0.250 0.902 Te
0.958 0.750 0.098 Te
0.937 0.250 0.595 Te
0.542 0.250 0.598 Te
0.458 0.750 0.402 Te
0.487 0.750 0.751 Gd
0.262 0.250 0.471 Gd
0.738 0.750 0.529 Gd
0.013 0.250 0.251 Gd
0.238 0.750 0.971 Gd
0.513 0.250 0.249 Gd
0.987 0.750 0.749 Gd
0.762 0.250 0.029 Gd
0.744 0.250 0.722 Au
0.256 0.750 0.278 Au
0.756 0.750 0.222 Au
0.244 0.250 0.778 Au
```

## Properties
Magnetic moment ... 0.0 μB/cell
Symmetry ... Pnma, No. 62
Electronic total energy ... -113.2 eV for the cell shown


The following is a DFT calculation (PBE) of a relaxed structure of ZnInB4.

Structure (POSCAR):
```
ZnInB4
1.0
-0.750 3.052 3.617
-0.551 4.012 -2.561
-2.069 -4.238 0.846
B In Zn
4 1 1
direct
0.087 0.754 0.334 B
0.420 0.754 0.666 B
0.580 0.246 0.334 B
0.913 0.246 0.666 B
0.000 0.000 0.000 In
0.500 0.500 0.000 Zn
```

## Properties
Symmetry ... Immm, No. 71
Electronic total energy ... -27.9 eV for the cell shown


The following is a DFT calculation (PBE) of a relaxed structure of ZnMo.

Structure (POSCAR):
```
ZnMo
1.0
7.551 -0.922 0.000
0.331 5.404 0.000
0.000 0.000 4.444
Mo Zn
6 6
direct
0.516 0.444 0.500 Mo
0.856 0.784 0.500 Mo
0.366 0.272 0.000 Mo
0.706 0.611 0.000 Mo
0.679 0.110 0.000 Mo
0.543 0.946 0.500 Mo
0.191 0.591 0.500 Zn
0.360 0.767 0.000 Zn
0.862 0.288 0.500 Zn
0.192 0.085 0.500 Zn
0.031 0.465 0.000 Zn
0.030 0.970 0.000 Zn
```

## Properties
Formation energy from the elements ... 0.11 eV/atom
Magnetic moment ... 0.0 μB/cell
Symmetry ... P2_1/m, No. 11
Electronic total energy ... -71.3 eV for the cell shown


Among the records above, which one has the lowest electronic total energy?
Si16AgGe12P3


Copy entry 2 word for word.
The following is a DFT calculation (PBE) of a relaxed structure of Si16AgGe12P3.

Structure (POSCAR):
```
Si16AgGe12P3
1.0
-3.295 -1.869 5.648
-9.466 -3.434 -2.598
2.229 -10.138 -0.701
Si P Ge Ag
16 3 12 1
direct
0.495 0.317 0.071 Si
0.375 0.796 0.343 Si
0.874 0.858 0.161 Si
0.373 0.423 0.486 Si
0.377 0.544 0.116 Si
0.876 0.110 0.421 Si
0.868 0.241 0.046 Si
0.487 0.561 0.315 Si
0.386 0.166 0.231 Si
0.016 0.620 0.121 Si
0.487 0.443 0.685 Si
0.998 0.121 0.626 Si
0.869 0.731 0.545 Si
0.007 0.007 0.002 Si
0.500 0.939 0.179 Si
0.003 0.502 0.500 Si
0.366 0.929 0.990 P
0.887 0.602 0.927 P
0.997 0.381 0.881 P
0.374 0.304 0.864 Ge
0.012 0.736 0.747 Ge
0.867 0.361 0.672 Ge
0.007 0.251 0.248 Ge
0.864 0.492 0.296 Ge
0.373 0.042 0.608 Ge
0.391 0.671 0.739 Ge
0.489 0.064 0.820 Ge
0.495 0.807 0.548 Ge
0.500 0.191 0.435 Ge
0.879 0.978 0.803 Ge
0.998 0.873 0.371 Ge
0.509 0.689 0.952 Ag
```

## Properties
Symmetry ... P1, No. 1
Electronic total energy ... -159.7 eV for the cell shown


Look up the electronic total energy of the first one.
-18.9 eV for the cell shown


Which of these has the highest electronic total energy?
MgNbCuSi